MnBi2IrAu | GGA-PBE | relaxed

abc: 4.9955 4.9955 4.8422
angles: 90.00 90.00 90.00
Element x y z (fractional)
Mn (0.0000, 0.0000, 0.0000)
Bi (0.0000, 0.5000, 0.0000)
Bi (0.5000, 0.0000, 0.0000)
Ir (0.5000, 0.5000, 0.5000)
Au (0.0000, 0.0000, 0.5000)

SG ... No. 123

***

B5C7 | GGA-PBE | relaxed

abc: 2.6439 2.6439 14.6472
angles: 90.00 90.00 120.00
Element x y z (fractional)
B (0.0000, 0.0000, 0.0000)
B (0.0000, 0.0000, 0.2538)
B (0.0000, 0.0000, 0.6819)
B (0.6667, 0.3333, 0.5282)
B (0.6667, 0.3333, 0.8762)
C (0.0000, 0.0000, 0.5754)
C (0.3333, 0.6667, 0.2685)
C (0.3333, 0.6667, 0.3832)
C (0.3333, 0.6667, 0.7325)
C (0.3333, 0.6667, 0.8289)
C (0.6667, 0.3333, 0.4172)
C (0.6667, 0.3333, 0.9893)

Energy above the most stable polymorph in this dataset ... 58 meV/atom
SG ... No. 156

***

Tb5Tl6Cd | GGA-PBE | relaxed

abc: 9.3411 9.3411 9.3411
angles: 147.61 130.48 60.42
Element x y z (fractional)
Tb (0.0000, 0.0000, 0.0000)
Tb (0.1749, 0.6749, 0.5000)
Tb (0.3568, 0.3568, 0.0000)
Tb (0.6432, 0.6432, 0.0000)
Tb (0.8251, 0.3251, 0.5000)
Tl (0.0746, 0.8311, 0.2436)
Tl (0.2307, 0.5000, 0.7307)
Tl (0.4125, 0.1689, 0.2436)
Tl (0.5875, 0.8311, 0.7564)
Tl (0.7693, 0.5000, 0.2693)
Tl (0.9254, 0.1689, 0.7564)
Cd (0.5000, 0.0000, 0.5000)

SG ... No. 71

***

Nd4Tm5 | GGA-PBE | relaxed

abc: 7.9995 7.9995 7.9995
angles: 95.67 95.67 143.35
Element x y z (fractional)
Nd (0.1665, 0.1665, 0.3330)
Nd (0.1665, 0.8335, 0.0000)
Nd (0.8335, 0.1665, 0.0000)
Nd (0.8335, 0.8335, 0.6670)
Tm (0.1646, 0.5000, 0.6646)
Tm (0.5000, 0.1646, 0.6646)
Tm (0.5000, 0.5000, 0.0000)
Tm (0.5000, 0.8354, 0.3354)
Tm (0.8354, 0.5000, 0.3354)

SG ... No. 139

***

Te3Ir | GGA-PBE | relaxed

abc: 3.8619 4.9046 7.0441
angles: 108.79 90.09 112.90
Element x y z (fractional)
Te (0.0000, 0.0000, 0.0000)
Te (0.3268, 0.6575, 0.3681)
Te (0.6720, 0.3501, 0.6925)
Ir (0.7227, 0.4488, 0.0925)

Uncorrected formation energy ... 0.084 eV/atom
SG ... No. 1

***

Sr2Zn4GaPd3 | GGA-PBE | relaxed

abc: 4.3613 4.3613 10.7817
angles: 90.00 90.00 90.00
Element x y z (fractional)
Sr (0.0000, 0.5000, 0.2497)
Sr (0.5000, 0.0000, 0.7503)
Zn (0.0000, 0.0000, 0.0000)
Zn (0.0000, 0.5000, 0.6321)
Zn (0.5000, 0.0000, 0.3679)
Zn (0.5000, 0.5000, 0.0000)
Ga (0.0000, 0.0000, 0.5000)
Pd (0.0000, 0.5000, 0.8709)
Pd (0.5000, 0.0000, 0.1291)
Pd (0.5000, 0.5000, 0.5000)

SG ... No. 115

***

Record order is preserved below.
Energy: -4.73; -7.85; -3.49; -4.58; -4.49; -3.20 eV per atom
Record order is preserved below.
DOS at the Fermi energy: 4.52; 2.84; 7.57; 13.02; 2.29; 6.03 states/eV/cell